The following is a PBE calculation of Ca2ZnRhO5 after structural relaxation, from the Alexandria database.

Lattice parameters (Å, degrees): 7.1408 7.1408 9.6140 90.00 90.00 153.79
Fractional coordinates of all 18 atoms:
Ca  0.1159  0.8841  0.5000
Ca  0.1237  0.8763  0.0832
Ca  0.8763  0.1237  0.5832
Ca  0.8841  0.1159  0.0000
Zn  0.4821  0.5179  0.2708
Zn  0.5179  0.4821  0.7708
Rh  0.2221  0.7779  0.8049
Rh  0.7779  0.2221  0.3049
O  0.0785  0.9215  0.8356
O  0.2777  0.7223  0.4395
O  0.2863  0.7137  0.1735
O  0.3705  0.6295  0.8025
O  0.4975  0.5025  0.0684
O  0.5025  0.4975  0.5684
O  0.6295  0.3705  0.3025
O  0.7137  0.2863  0.6735
O  0.7223  0.2777  0.9395
O  0.9215  0.0785  0.3356

## Properties
N(E_F), states/eV per cell: 6.55
Energy, eV/atom: -6.014
Raw formation energy, eV/f.u.: -16.71

The following is a PBE calculation of CaZnRhO4 after structural relaxation, from the Alexandria database.

Lattice parameters (Å, degrees): 5.5596 5.5596 6.9284 90.00 90.00 114.80
Fractional coordinates of all 14 atoms:
Ca  0.0000  0.0000  0.0000
Ca  0.0000  0.0000  0.5000
Zn  0.3477  0.6523  0.7500
Zn  0.6523  0.3477  0.2500
Rh  0.3392  0.6608  0.2500
Rh  0.6608  0.3392  0.7500
O  0.2522  0.7478  0.5007
O  0.2522  0.7478  0.9993
O  0.2624  0.2818  0.2500
O  0.2818  0.2624  0.7500
O  0.7182  0.7376  0.2500
O  0.7376  0.7182  0.7500
O  0.7478  0.2522  0.0007
O  0.7478  0.2522  0.4993

## Properties
N(E_F), states/eV per cell: 8.70
Energy, eV/atom: -5.623
Raw formation energy, eV/f.u.: -8.90

The following is a PBE calculation of CaRu2O8 after structural relaxation, from the Alexandria database.

Lattice parameters (Å, degrees): 6.4782 6.4782 5.8201 101.79 101.79 61.23
Fractional coordinates of all 11 atoms:
Ca  0.0000  0.0000  0.0000
Ru  0.1944  0.1944  0.6772
Ru  0.8056  0.8056  0.3228
O  0.0759  0.6697  0.2000
O  0.1425  0.1425  0.3668
O  0.3303  0.9241  0.8000
O  0.3527  0.3527  0.7741
O  0.6473  0.6473  0.2259
O  0.6697  0.0759  0.2000
O  0.8575  0.8575  0.6332
O  0.9241  0.3303  0.8000

## Properties
N(E_F), states/eV per cell: 8.15
Energy, eV/atom: -6.557
Raw formation energy, eV/f.u.: -11.91

The following is a PBE calculation of CaRuO3 after structural relaxation, from the Alexandria database.

Lattice parameters (Å, degrees): 5.6179 7.7373 5.4027 90.00 90.00 90.00
Fractional coordinates of all 20 atoms:
Ca  0.0607  0.2500  0.0164
Ca  0.4393  0.7500  0.5164
Ca  0.5607  0.2500  0.4836
Ca  0.9393  0.7500  0.9836
Ru  0.0000  0.0000  0.5000
Ru  0.0000  0.5000  0.5000
Ru  0.5000  0.0000  0.0000
Ru  0.5000  0.5000  0.0000
O  0.0280  0.7500  0.4017
O  0.2010  0.5500  0.8041
O  0.2010  0.9500  0.8041
O  0.2990  0.0500  0.3041
O  0.2990  0.4500  0.3041
O  0.4720  0.2500  0.9017
O  0.5280  0.7500  0.0983
O  0.7010  0.5500  0.6959
O  0.7010  0.9500  0.6959
O  0.7990  0.0500  0.1959
O  0.7990  0.4500  0.1959
O  0.9720  0.2500  0.5983

## Properties
N(E_F), states/eV per cell: 10.69
Energy, eV/atom: -7.035
Raw formation energy, eV/f.u.: -9.02

The following is a PBE calculation of Ca3RuO4 after structural relaxation, from the Alexandria database.

Lattice parameters (Å, degrees): 5.7235 5.7235 5.7235 131.37 131.37 71.23
Fractional coordinates of all 8 atoms:
Ca  0.0000  0.0000  0.0000
Ca  0.2500  0.7500  0.5000
Ca  0.7500  0.2500  0.5000
Ru  0.5000  0.5000  0.0000
O  0.0000  0.5000  0.5000
O  0.2597  0.2597  0.0000
O  0.5000  0.0000  0.5000
O  0.7403  0.7403  0.0000

## Properties
N(E_F), states/eV per cell: 3.60
Energy, eV/atom: -6.559
Raw formation energy, eV/f.u.: -17.36

The following is a PBE calculation of Ca5RuO8 after structural relaxation, from the Alexandria database.

Lattice parameters (Å, degrees): 6.1721 6.1721 6.1721 110.89 110.89 106.68
Fractional coordinates of all 14 atoms:
Ca  0.0000  0.0000  0.0000
Ca  0.2537  0.1150  0.5982
Ca  0.3446  0.7463  0.8613
Ca  0.5168  0.6554  0.4018
Ca  0.8850  0.4832  0.1387
Ru  0.7500  0.2500  0.5000
O  0.0651  0.3414  0.8118
O  0.1560  0.3823  0.3986
O  0.2426  0.8440  0.2263
O  0.5296  0.2533  0.1882
O  0.6177  0.0163  0.7737
O  0.6586  0.4704  0.7237
O  0.7467  0.9349  0.2763
O  0.9837  0.7574  0.6014

## Properties
N(E_F), states/eV per cell: 4.86
Energy, eV/atom: -6.365
Raw formation energy, eV/f.u.: -30.16

Q: N(E_F) of number 5 (Ca3RuO4)?
A: 3.60 states/eV per cell

Q: The highest energy belongs to which entry?
A: CaZnRhO4

Q: Which value of raw formation energy does entry 1 give?
A: -16.71 eV/f.u.

Q: Which value of N(E_F) does entry 3 give?
A: 8.15 states/eV per cell